CaEuAsH (GGA-PBE, optimized geometry); symmetry = F-43m, No. 216; energy = -5.83 eV/atom; magnetization = 1.75 μB per atom
1.0
4.9933 0.0000 0.0000
2.4967 4.3243 0.0000
2.4967 1.4414 4.0770
As Eu Ca H
1 1 1 1
direct
0.2500 0.2500 0.2500
0.5000 0.5000 0.5000
0.0000 0.0000 0.0000
0.7500 0.7500 0.7500

CaEuHgAs (GGA-PBE, optimized geometry); E_form = -0.76 eV/atom; symmetry = F-43m, No. 216; magnetization = 1.80 μB per atom
1.0
-3.5897 2.9610 -2.5855
0.1985 0.3936 -5.3051
-3.7323 -2.3455 -2.9845
Hg As Eu Ca
1 1 1 1
direct
0.5000 0.5000 0.5000
0.0000 0.0000 0.0000
0.7500 0.7500 0.7500
0.2500 0.2500 0.2500